Entry from Alexandria via LeMat-Bulk: a relaxed Li2PAuS4 crystal (PBE).

a b c (Å): 5.556 5.556 10.631
angles (deg): 90.00 90.00 90.00
Fractional coordinates of all 16 atoms:
Li 0.000 0.000 0.000
Li 0.000 0.500 0.250
Li 0.500 0.000 0.750
Li 0.500 0.500 0.500
P 0.000 0.500 0.750
P 0.500 0.000 0.250
Au 0.000 0.000 0.500
Au 0.500 0.500 0.000
S 0.210 0.723 0.861
S 0.223 0.290 0.639
S 0.277 0.210 0.139
S 0.290 0.777 0.361
S 0.710 0.223 0.361
S 0.723 0.790 0.139
S 0.777 0.710 0.639
S 0.790 0.277 0.861

Values from the calculation:
For the total energy, the calculation gives -67.81 eV for the cell shown. The calculation puts the energy relative to the elements, uncorrected at -0.61 eV/atom. Its space group is I-4 (82). Its total moment is 0.000 μB per atom.


Entry from Alexandria via LeMat-Bulk: a relaxed PuTl2OsO6 crystal (PBE).

a b c (Å): 5.823 5.823 6.830
angles (deg): 115.14 115.14 90.00
Fractional coordinates of all 10 atoms:
Pu 0.000 0.000 0.000
Tl 0.250 0.750 0.500
Tl 0.750 0.250 0.500
Os 0.500 0.500 0.000
O 0.172 0.172 0.345
O 0.274 0.274 0.999
O 0.275 0.725 0.000
O 0.725 0.275 0.000
O 0.726 0.726 0.001
O 0.828 0.828 0.655

Values from the calculation:
For the total energy, the calculation gives -74.58 eV for the cell shown. The calculation puts the energy relative to the elements, uncorrected at -1.45 eV/atom. Its space group is C2/m (12). Its total moment is 0.402 μB per atom.


Entry from Alexandria via LeMat-Bulk: a relaxed MgMnGa3 crystal (PBE).

a b c (Å): 4.661 5.324 6.702
angles (deg): 90.00 91.55 90.00
Fractional coordinates of all 10 atoms:
Mg 0.178 0.250 0.247
Mg 0.822 0.750 0.753
Mn 0.148 0.750 0.123
Mn 0.852 0.250 0.877
Ga 0.287 0.750 0.460
Ga 0.323 0.016 0.839
Ga 0.323 0.484 0.839
Ga 0.677 0.516 0.161
Ga 0.677 0.984 0.161
Ga 0.713 0.250 0.540

Values from the calculation:
For the total energy, the calculation gives -39.67 eV for the cell shown. Its space group is P2_1/m (11). The calculation puts the formation energy at 1 kJ/mol of formula units. Its total moment is 0.000 μB per atom.


Entry from Alexandria via LeMat-Bulk: a relaxed NaCd2InPb crystal (PBE).

a b c (Å): 3.336 5.521 14.383
angles (deg): 90.00 90.00 90.00
Fractional coordinates of all 10 atoms:
Na 0.000 0.000 0.000
Na 0.500 0.500 0.500
Cd 0.000 0.000 0.580
Cd 0.000 0.500 0.897
Cd 0.500 0.000 0.397
Cd 0.500 0.500 0.080
In 0.000 0.500 0.691
In 0.500 0.000 0.191
Pb 0.000 0.500 0.287
Pb 0.500 0.000 0.787

Values from the calculation:
For the total energy, the calculation gives -19.44 eV for the cell shown. Its space group is Imm2 (44). The calculation puts the formation energy at -12 kJ/mol of formula units. Its total moment is 0.000 μB per atom.


Entry from Alexandria via LeMat-Bulk: a relaxed Nd4PbSe3 crystal (PBE).

a b c (Å): 6.124 6.124 12.254
angles (deg): 90.00 90.00 90.00
Fractional coordinates of all 16 atoms:
Nd 0.000 0.000 0.244
Nd 0.000 0.000 0.756
Nd 0.000 0.500 0.000
Nd 0.000 0.500 0.500
Nd 0.500 0.000 0.000
Nd 0.500 0.000 0.500
Nd 0.500 0.500 0.256
Nd 0.500 0.500 0.744
Pb 0.000 0.000 0.500
Pb 0.500 0.500 0.000
Se 0.000 0.000 0.000
Se 0.000 0.500 0.250
Se 0.000 0.500 0.750
Se 0.500 0.000 0.250
Se 0.500 0.000 0.750
Se 0.500 0.500 0.500

Values from the calculation:
For the total energy, the calculation gives -90.90 eV for the cell shown. The calculation puts the energy relative to the elements, uncorrected at -1.53 eV/atom. Its space group is I4/mmm (139). Its total moment is 0.000 μB per atom.


Entry from Alexandria via LeMat-Bulk: a relaxed ScNiAs2 crystal (PBE).

a b c (Å): 6.436 6.436 6.436
angles (deg): 90.00 90.00 90.00
Fractional coordinates of all 16 atoms:
Sc 0.000 0.000 0.000
Sc 0.000 0.500 0.500
Sc 0.500 0.000 0.500
Sc 0.500 0.500 0.000
Ni 0.000 0.000 0.500
Ni 0.000 0.500 0.000
Ni 0.500 0.000 0.000
Ni 0.500 0.500 0.500
As 0.250 0.250 0.250
As 0.250 0.250 0.750
As 0.250 0.750 0.250
As 0.250 0.750 0.750
As 0.750 0.250 0.250
As 0.750 0.250 0.750
As 0.750 0.750 0.250
As 0.750 0.750 0.750

Values from the calculation:
For the total energy, the calculation gives -91.09 eV for the cell shown. Its space group is Fm-3m (225). The calculation puts the formation energy at -131 kJ/mol of formula units. Its total moment is 0.000 μB per atom.